No. 1
Material: HPtS2
Method: DFT, PBE
State: optimized geometry

Lattice parameters (Å, degrees): 7.3366 7.3366 7.3366 22.86 22.86 22.86
With the nearest neighbours (Å) after each atom.
Fractional positions:
H 0.0000 0.0000 0.0000  6 S 2.12
Pt 0.5000 0.5000 0.5000  2 S 2.27
S 0.3940 0.3940 0.3940  3 H 2.12, 1 Pt 2.27
S 0.6060 0.6060 0.6060  3 H 2.12, 1 Pt 2.27

Results
Relative energy among the computed polymorphs ... 3.05 eV/f.u.
Magnetization ... 0.00 μB per formula unit

No. 2
Material: H2PtS
Method: DFT, PBE
State: optimized geometry

Lattice parameters (Å, degrees): 5.0333 5.0333 5.0333 121.41 121.41 87.58
With the nearest neighbours (Å) after each atom.
Fractional positions:
H 0.0302 0.6250 0.9052  2 Pt 1.71
H 0.3750 0.2802 0.4052  2 Pt 1.71
H 0.7198 0.1250 0.0948  2 Pt 1.71
H 0.8750 0.9698 0.5948  2 Pt 1.71
Pt 0.0000 0.0000 0.0000  4 H 1.71
Pt 0.7500 0.2500 0.5000  4 H 1.71
S 0.2500 0.7500 0.5000  4 H 2.29
S 0.5000 0.5000 0.0000  4 H 2.29

Results
Relative energy among the computed polymorphs ... 0.00 eV/f.u.
Magnetization ... 0.00 μB per formula unit

No. 3
Material: HPtS2
Method: DFT, PBE
State: optimized geometry

Lattice parameters (Å, degrees): 6.0537 3.5290 7.3975 90.00 98.81 90.00
With the nearest neighbours (Å) after each atom.
Fractional positions:
H 0.0582 0.2500 0.2564  1 S 1.37
H 0.9418 0.7500 0.7436  1 S 1.37
Pt 0.4575 0.7500 0.3007  5 S 2.33-2.54
Pt 0.5425 0.2500 0.6993  5 S 2.33-2.54
S 0.2315 0.2500 0.1571  1 H 1.37
S 0.3019 0.7500 0.6009  3 Pt 2.33-2.54, 1 H 2.56
S 0.6981 0.2500 0.3991  3 Pt 2.33-2.54, 1 H 2.56
S 0.7685 0.7500 0.8429  1 H 1.37

Results
Relative energy among the computed polymorphs ... 0.00 eV/f.u.
Magnetization ... 0.00 μB per formula unit

No. 4
Material: HPtS3
Method: DFT, PBE
State: optimized geometry

Lattice parameters (Å, degrees): 4.7552 4.7552 4.7552 90.00 90.00 90.00
With the nearest neighbours (Å) after each atom.
Fractional positions:
H 0.0000 0.0000 0.0000  12 S 3.36
Pt 0.5000 0.5000 0.5000  6 S 2.38
S 0.0000 0.5000 0.5000  2 Pt 2.38
S 0.5000 0.0000 0.5000  2 Pt 2.38
S 0.5000 0.5000 0.0000  2 Pt 2.38

Results
Relative energy among the computed polymorphs ... 0.04 eV/f.u.
Magnetization ... 3.28 μB per formula unit

No. 5
Material: SbHPt
Method: DFT, PBE
State: optimized geometry

Lattice parameters (Å, degrees): 6.9355 5.0584 6.7625 90.00 117.86 90.00
With the nearest neighbours (Å) after each atom.
Fractional positions:
Sb 0.1662 0.9998 0.2731  4 Pt 2.69-2.72, 1 H 2.96
Sb 0.1662 0.5002 0.7731  4 Pt 2.69-2.72, 1 H 2.96
Sb 0.8338 0.0002 0.7269  4 Pt 2.69-2.72, 1 H 2.96
Sb 0.8338 0.4998 0.2269  4 Pt 2.69-2.72, 1 H 2.96
H 0.4619 0.0010 0.8284  2 Pt 1.77-1.78
H 0.4619 0.4990 0.3284  2 Pt 1.77-1.78
H 0.5381 0.5010 0.6716  2 Pt 1.77-1.78
H 0.5381 0.9990 0.1716  2 Pt 1.77-1.78
Pt 0.2727 0.0002 0.9362  2 H 1.77-1.78
Pt 0.2727 0.4998 0.4362  2 H 1.77-1.78
Pt 0.7273 0.9998 0.0638  2 H 1.77-1.78
Pt 0.7273 0.5002 0.5638  2 H 1.77-1.78

Results
Magnetization ... 0.00 μB per formula unit
VASP energy ... -4.68 eV per atom

No. 6
Material: SbHPt3
Method: DFT, PBE
State: optimized geometry

Lattice parameters (Å, degrees): 4.1727 4.1727 4.1727 90.00 90.00 90.00
With the nearest neighbours (Å) after each atom.
Fractional positions:
Sb 0.0000 0.0000 0.0000  12 Pt 2.95
H 0.5000 0.5000 0.5000  6 Pt 2.09
Pt 0.0000 0.5000 0.5000  2 H 2.09
Pt 0.5000 0.0000 0.5000  2 H 2.09
Pt 0.5000 0.5000 0.0000  2 H 2.09

Results
Relative energy among the computed polymorphs ... 0.60 eV/f.u.
Magnetization ... 0.00 μB per formula unit

No. 7
Material: SbHPt3
Method: DFT, PBE
State: optimized geometry

Lattice parameters (Å, degrees): 5.0052 5.0052 5.0052 90.00 90.00 90.00
With the nearest neighbours (Å) after each atom.
Fractional positions:
Sb 0.0000 0.0000 0.0000  6 Pt 2.50
H 0.5000 0.5000 0.5000  12 Pt 3.54
Pt 0.0000 0.0000 0.5000  2 Sb 2.50
Pt 0.0000 0.5000 0.0000  2 Sb 2.50
Pt 0.5000 0.0000 0.0000  2 Sb 2.50

Results
Relative energy among the computed polymorphs ... 7.29 eV/f.u.
Magnetization ... 1.75 μB per formula unit

No. 8
Material: SbHPt3
Method: DFT, PBE
State: optimized geometry

Lattice parameters (Å, degrees): 3.6371 7.0445 6.0210 90.00 90.00 90.00
With the nearest neighbours (Å) after each atom.
Fractional positions:
Sb 0.2500 0.2500 0.1882  1 H 2.60, 8 Pt 2.71-2.75
Sb 0.7500 0.7500 0.8118  1 H 2.60, 8 Pt 2.71-2.75
H 0.2500 0.2500 0.6194  4 Pt 1.86-1.90
H 0.7500 0.7500 0.3806  4 Pt 1.86-1.90
Pt 0.2500 0.0420 0.8103  1 H 1.86
Pt 0.2500 0.4580 0.8103  1 H 1.86
Pt 0.2500 0.7500 0.4706  2 H 1.90
Pt 0.7500 0.2500 0.5294  2 H 1.90
Pt 0.7500 0.5420 0.1897  1 H 1.86
Pt 0.7500 0.9580 0.1897  1 H 1.86

Results
Relative energy among the computed polymorphs ... 0.00 eV/f.u.
Magnetization ... 0.00 μB per formula unit